A relaxed Na6MnF8 crystal, computed with PBE with a Hubbard U.

Computed properties:
Calculated volume: 209 Å³/cell
Electronic total energy: -4.748 eV per atom
Spin magnetization: 5.00 μB/f.u.
Space group: Fm-3m (225)

Cell and atoms, written as extended XYZ:
```
15
Lattice="0.000 4.707 4.707 4.707 0.000 4.707 4.707 4.707 0.000" Properties=species:S:1:pos:R:3 pbc="T T T"
Na 2.354 2.354 0.000
Na 2.354 0.000 2.354
Na 4.707 2.354 2.354
Na 0.000 2.354 2.354
Na 2.354 4.707 2.354
Na 2.354 2.354 4.707
Mn 0.000 0.000 0.000
F 4.707 4.707 2.135
F 4.707 2.135 4.707
F 7.279 4.707 4.707
F 2.354 2.354 2.354
F 7.061 7.061 7.061
F 2.135 4.707 4.707
F 4.707 7.279 4.707
F 4.707 4.707 7.279
```